A plane-wave DFT calculation with PBE was carried out for a geometry-optimized Pm3Ag4Ge2 structure.

Properties
- Energy relative to the elements: -0.46 eV per atom
- SG: C2/m, No. 12

Cell: 4.576 5.984 8.789 Å, 71.55 74.91 67.52°
Fractional positions:
Pm 0.328 0.688 0.656
Pm 0.000 0.000 0.000
Pm 0.672 0.312 0.344
Ag 0.286 0.372 0.055
Ag 0.714 0.628 0.945
Ag 0.048 0.283 0.621
Ag 0.952 0.717 0.379
Ge 0.393 0.938 0.276
Ge 0.607 0.062 0.724

A plane-wave DFT calculation with PBE was carried out for a geometry-optimized PmAg3Ge2 structure.

Properties
- Energy relative to the elements: -0.30 eV per atom
- SG: C2/m, No. 12

Cell: 4.333 7.773 8.605 Å, 118.66 104.58 90.00°
Fractional positions:
Pm 0.144 0.224 0.288
Pm 0.856 0.776 0.712
Ag 0.687 0.928 0.374
Ag 0.050 0.711 0.100
Ag 0.392 0.492 0.784
Ag 0.608 0.508 0.216
Ag 0.950 0.289 0.900
Ag 0.313 0.072 0.626
Ge 0.516 0.864 0.032
Ge 0.484 0.136 0.968
Ge 0.207 0.681 0.414
Ge 0.793 0.319 0.586

A plane-wave DFT calculation with PBE was carried out for a geometry-optimized Pm3AgGe3 structure.

Properties
- Energy relative to the elements: -0.74 eV per atom
- SG: C2/m, No. 12

Cell: 4.451 5.976 13.627 Å, 84.04 80.60 68.14°
Fractional positions:
Pm 0.528 0.321 0.623
Pm 0.472 0.679 0.377
Pm 0.259 0.259 0.223
Pm 0.741 0.741 0.777
Pm 0.397 0.282 0.924
Pm 0.603 0.718 0.076
Ag 0.760 0.082 0.399
Ag 0.240 0.918 0.601
Ge 0.877 0.698 0.549
Ge 0.123 0.302 0.451
Ge 0.117 0.840 0.925
Ge 0.883 0.160 0.075
Ge 0.972 0.829 0.228
Ge 0.028 0.171 0.772

A plane-wave DFT calculation with PBE was carried out for a geometry-optimized PmAg4Ge structure.

Properties
- Energy relative to the elements: -0.10 eV per atom
- SG: F-43m, No. 216

Cell: 5.608 5.608 5.608 Å, 60.00 60.00 60.00°
Fractional positions:
Ge 0.000 0.000 0.000
Ag 0.625 0.625 0.125
Ag 0.625 0.125 0.625
Ag 0.625 0.625 0.625
Ag 0.125 0.625 0.625
Pm 0.250 0.250 0.250

A plane-wave DFT calculation with PBE was carried out for a geometry-optimized Pm4AgGe3 structure.

Properties
- Energy relative to the elements: -0.69 eV per atom
- SG: Pmm2, No. 25

Cell: 4.355 4.173 11.250 Å, 90.00 90.00 90.00°
Fractional positions:
Pm 0.500 0.500 0.367
Pm 0.000 0.500 0.859
Pm 0.000 0.000 0.143
Pm 0.500 0.000 0.638
Ag 0.500 0.500 0.073
Ge 0.000 0.500 0.585
Ge 0.000 0.000 0.420
Ge 0.500 0.000 0.914

A plane-wave DFT calculation with PBE was carried out for a geometry-optimized PmAgGe2 structure.

Properties
- Energy relative to the elements: -0.47 eV per atom
- SG: Pnma, No. 62

Cell: 4.348 11.248 14.029 Å, 90.00 90.00 90.00°
Fractional positions:
Pm 0.750 0.460 0.703
Pm 0.250 0.960 0.797
Pm 0.250 0.540 0.297
Pm 0.750 0.040 0.203
Pm 0.750 0.248 0.952
Pm 0.250 0.748 0.548
Pm 0.250 0.752 0.048
Pm 0.750 0.252 0.452
Ag 0.750 0.545 0.941
Ag 0.250 0.045 0.559
Ag 0.250 0.455 0.059
Ag 0.750 0.955 0.441
Ag 0.750 0.333 0.206
Ag 0.250 0.833 0.294
Ag 0.250 0.667 0.794
Ag 0.750 0.167 0.706
Ge 0.750 0.977 0.956
Ge 0.250 0.477 0.544
Ge 0.250 0.023 0.044
Ge 0.750 0.523 0.456
Ge 0.750 0.771 0.890
Ge 0.250 0.271 0.610
Ge 0.250 0.229 0.110
Ge 0.750 0.729 0.390
Ge 0.750 0.745 0.703
Ge 0.250 0.245 0.797
Ge 0.250 0.255 0.297
Ge 0.750 0.755 0.203
Ge 0.750 0.949 0.634
Ge 0.250 0.449 0.866
Ge 0.250 0.051 0.366
Ge 0.750 0.551 0.134

A plane-wave DFT calculation with PBE was carried out for a geometry-optimized Pm3AgGe structure.

Properties
- Energy relative to the elements: -0.32 eV per atom
- SG: C2/c, No. 15

Cell: 6.081 10.250 10.250 Å, 69.79 73.08 73.08°
Fractional positions:
Pm 0.414 0.305 0.072
Pm 0.914 0.072 0.305
Pm 0.086 0.928 0.695
Pm 0.586 0.695 0.928
Pm 0.935 0.341 0.450
Pm 0.435 0.450 0.341
Pm 0.565 0.550 0.659
Pm 0.065 0.659 0.550
Pm 0.956 0.643 0.153
Pm 0.456 0.153 0.643
Pm 0.544 0.847 0.357
Pm 0.044 0.357 0.847
Ag 0.250 0.793 0.207
Ag 0.250 0.030 0.970
Ag 0.750 0.207 0.793
Ag 0.750 0.970 0.030
Ge 0.848 0.378 0.136
Ge 0.348 0.136 0.378
Ge 0.652 0.864 0.622
Ge 0.152 0.622 0.864

A plane-wave DFT calculation with PBE was carried out for a geometry-optimized Pm2AgGe structure.

Properties
- Energy relative to the elements: -0.50 eV per atom
- SG: P4/mmm, No. 123

Cell: 3.795 5.149 5.149 Å, 90.00 90.00 90.00°
Fractional positions:
Ge 0.500 0.000 0.000
Ag 0.500 0.500 0.500
Pm 0.000 0.000 0.500
Pm 0.000 0.500 0.000

A plane-wave DFT calculation with PBE was carried out for a geometry-optimized Pm4Ag3Ge structure.

Properties
- Energy relative to the elements: -0.39 eV per atom
- SG: Pmmm, No. 47

Cell: 3.757 5.213 10.426 Å, 90.00 90.00 90.00°
Fractional positions:
Ge 0.500 0.500 0.000
Ag 0.500 0.000 0.258
Ag 0.500 0.500 0.500
Ag 0.500 0.000 0.742
Pm 0.000 0.000 0.500
Pm 0.000 0.500 0.763
Pm 0.000 0.000 0.000
Pm 0.000 0.500 0.237

A plane-wave DFT calculation with PBE was carried out for a geometry-optimized Pm5AgGe4 structure.

Properties
- Energy relative to the elements: -0.57 eV per atom
- SG: P4/mmm, No. 123

Cell: 3.471 3.471 20.342 Å, 90.00 90.00 90.00°
Fractional positions:
Pm 0.500 0.500 0.104
Pm 0.500 0.500 0.299
Pm 0.500 0.500 0.500
Pm 0.500 0.500 0.701
Pm 0.500 0.500 0.896
Ag 0.000 0.000 0.000
Ge 0.000 0.000 0.198
Ge 0.000 0.000 0.399
Ge 0.000 0.000 0.601
Ge 0.000 0.000 0.802

A plane-wave DFT calculation with PBE was carried out for a geometry-optimized PmAgGe2 structure.

Properties
- Energy relative to the elements: -0.40 eV per atom
- SG: P4/mmm, No. 123

Cell: 4.214 4.473 4.473 Å, 90.00 90.00 90.00°
Fractional positions:
Ge 0.000 0.000 0.500
Ge 0.000 0.500 0.000
Ag 0.500 0.000 0.000
Pm 0.500 0.500 0.500

A plane-wave DFT calculation with PBE was carried out for a geometry-optimized Pm6AgGe3 structure.

Properties
- Energy relative to the elements: -0.45 eV per atom
- SG: Cmc2_1, No. 36

Cell: 7.314 9.194 9.194 Å, 104.67 90.00 90.00°
Fractional positions:
Pm 0.142 0.721 0.640
Pm 0.642 0.640 0.721
Pm 0.241 0.472 0.913
Pm 0.741 0.913 0.472
Pm 0.264 0.994 0.006
Pm 0.630 0.251 0.749
Pm 0.130 0.749 0.251
Pm 0.764 0.006 0.994
Pm 0.241 0.087 0.528
Pm 0.741 0.528 0.087
Pm 0.142 0.360 0.279
Pm 0.642 0.279 0.360
Ag 0.020 0.173 0.827
Ag 0.520 0.827 0.173
Ge 0.475 0.932 0.719
Ge 0.975 0.719 0.932
Ge 0.354 0.413 0.587
Ge 0.854 0.587 0.413
Ge 0.975 0.068 0.281
Ge 0.475 0.281 0.068

A plane-wave DFT calculation with PBE was carried out for a geometry-optimized Pm2AgGe structure.

Properties
- Energy relative to the elements: -0.54 eV per atom
- SG: P2_1/m, No. 11

Cell: 4.486 6.173 8.073 Å, 110.89 90.00 90.00°
Fractional positions:
Pm 0.750 0.207 0.424
Pm 0.250 0.793 0.576
Pm 0.250 0.779 0.069
Pm 0.750 0.221 0.931
Ag 0.250 0.353 0.216
Ag 0.750 0.647 0.784
Ge 0.750 0.674 0.292
Ge 0.250 0.326 0.708

A plane-wave DFT calculation with PBE was carried out for a geometry-optimized PmAg2Ge2 structure.

Properties
- Energy relative to the elements: -0.41 eV per atom
- SG: I4/mmm, No. 139

Cell: 4.288 4.288 6.348 Å, 109.74 109.74 90.00°
Fractional positions:
Pm 0.000 0.000 0.000
Ag 0.750 0.250 0.500
Ag 0.250 0.750 0.500
Ge 0.610 0.610 0.219
Ge 0.390 0.390 0.781

A plane-wave DFT calculation with PBE was carried out for a geometry-optimized PmAgGe2 structure.

Properties
- Energy relative to the elements: -0.23 eV per atom
- SG: Fm-3m, No. 225

Cell: 4.956 4.956 4.956 Å, 60.00 60.00 60.00°
Fractional positions:
Ge 0.250 0.250 0.250
Ge 0.750 0.750 0.750
Ag 0.500 0.500 0.500
Pm 0.000 0.000 0.000

A plane-wave DFT calculation with PBE was carried out for a geometry-optimized Pm3AgGe3 structure.

Properties
- Energy relative to the elements: -0.47 eV per atom
- SG: P6_3/m, No. 176

Cell: 5.927 8.825 8.825 Å, 120.00 90.00 90.00°
Fractional positions:
Pm 0.750 0.689 0.632
Pm 0.750 0.368 0.057
Pm 0.750 0.943 0.311
Pm 0.250 0.311 0.368
Pm 0.250 0.632 0.943
Pm 0.250 0.057 0.689
Ag 0.250 0.667 0.333
Ag 0.750 0.333 0.667
Ge 0.250 0.697 0.647
Ge 0.250 0.353 0.050
Ge 0.250 0.950 0.303
Ge 0.750 0.303 0.353
Ge 0.750 0.647 0.950
Ge 0.750 0.050 0.697

A plane-wave DFT calculation with PBE was carried out for a geometry-optimized Pm2Ag3Ge2 structure.

Properties
- Energy relative to the elements: -0.37 eV per atom
- SG: Cmmm, No. 65

Cell: 4.155 3.845 10.098 Å, 100.97 90.00 90.00°
Fractional positions:
Pm 0.000 0.836 0.673
Pm 0.000 0.164 0.327
Ag 0.500 0.568 0.136
Ag 0.500 0.432 0.864
Ag 0.000 0.000 0.000
Ge 0.500 0.709 0.417
Ge 0.500 0.291 0.583

A plane-wave DFT calculation with PBE was carried out for a geometry-optimized Pm2AgGe4 structure.

Properties
- Energy relative to the elements: -0.31 eV per atom
- SG: P-4m2, No. 115

Cell: 4.205 4.205 9.232 Å, 90.00 90.00 90.00°
Fractional positions:
Pm 0.500 0.000 0.758
Pm 0.000 0.500 0.242
Ag 0.500 0.500 0.000
Ge 0.500 0.000 0.196
Ge 0.000 0.500 0.804
Ge 0.500 0.500 0.500
Ge 0.000 0.000 0.500

A plane-wave DFT calculation with PBE was carried out for a geometry-optimized Pm2AgGe3 structure.

Properties
- Energy relative to the elements: -0.62 eV per atom
- SG: Fmmm, No. 69

Cell: 6.013 6.013 8.640 Å, 111.23 111.23 87.68°
Fractional positions:
Pm 0.750 0.250 0.500
Pm 0.759 0.241 0.000
Pm 0.250 0.750 0.500
Pm 0.241 0.759 0.000
Ag 0.666 0.666 0.332
Ag 0.334 0.334 0.668
Ge 0.832 0.832 0.166
Ge 0.666 0.666 0.834
Ge 0.168 0.168 0.834
Ge 0.334 0.334 0.166
Ge 0.166 0.166 0.331
Ge 0.834 0.834 0.669

A plane-wave DFT calculation with PBE was carried out for a geometry-optimized Pm5Ag2Ge5 structure.

Properties
- Energy relative to the elements: -0.64 eV per atom
- SG: C2/m, No. 12

Cell: 4.404 8.033 11.019 Å, 127.54 90.00 105.91°
Fractional positions:
Pm 0.500 0.000 0.500
Pm 0.605 0.210 0.920
Pm 0.693 0.386 0.325
Pm 0.307 0.614 0.675
Pm 0.395 0.790 0.080
Ag 0.144 0.287 0.752
Ag 0.856 0.713 0.248
Ge 0.068 0.136 0.360
Ge 0.764 0.528 0.830
Ge 0.236 0.472 0.170
Ge 0.932 0.864 0.640
Ge 0.000 0.000 0.000

no.,total moment (μB/f.u.)
1,0.00
2,0.00
3,0.00
4,0.00
5,0.00
6,0.00
7,0.00
8,0.33
9,0.00
10,0.00
11,0.00
12,0.00
13,0.00
14,0.00
15,0.00
16,0.00
17,0.00
18,0.00
19,0.00
20,0.00